CaCd6Ge2 | GGA-PBE | relaxed

## Properties
SG: P4/mmm, No. 123
E_form: -1.12 eV per formula unit
Magnetic moment: 0.00 Bohr magnetons per cell

abc: 4.4011 4.4011 10.6243
angles: 90.00 90.00 90.00
Closest atoms and distances in Å follow each position.
Positions (direct):
Ca 0.0000 0.0000 0.0000  8 Ge 3.36
Cd 0.0000 0.0000 0.5000  12 Cd 3.11-3.14
Cd 0.0000 0.5000 0.2885  2 Ge 2.85, 8 Cd 3.11-3.14
Cd 0.0000 0.5000 0.7115  2 Ge 2.85, 8 Cd 3.11-3.14
Cd 0.5000 0.0000 0.2885  2 Ge 2.85, 8 Cd 3.11-3.14
Cd 0.5000 0.0000 0.7115  2 Ge 2.85, 8 Cd 3.11-3.14
Cd 0.5000 0.5000 0.5000  12 Cd 3.11-3.14
Ge 0.5000 0.5000 0.1182  1 Ge 2.51
Ge 0.5000 0.5000 0.8818  1 Ge 2.51

Ag2BiPb2 | GGA-PBE | relaxed

## Properties
SG: I4/mmm, No. 139
E_form: 0.71 eV per formula unit
Magnetic moment: 0.00 Bohr magnetons per cell

abc: 9.1781 9.1781 9.1781
angles: 154.99 154.99 35.66
Closest atoms and distances in Å follow each position.
Positions (direct):
Ag 0.2500 0.7500 0.5000  4 Ag 2.81
Ag 0.7500 0.2500 0.5000  4 Ag 2.81
Bi 0.0000 0.0000 0.0000  8 Pb 3.39
Pb 0.3919 0.3919 0.0000  4 Ag 3.18, 4 Bi 3.39
Pb 0.6081 0.6081 0.0000  4 Ag 3.18, 4 Bi 3.39

Pm8Y5Pu | GGA-PBE | relaxed

## Properties
SG: C2, No. 5
E_form: 3.05 eV per formula unit
Magnetic moment: 6.07 Bohr magnetons per cell

abc: 8.4529 8.4529 9.4436
angles: 121.45 121.45 64.92
Closest atoms and distances in Å follow each position.
Positions (direct):
Pm 0.0332 0.0332 0.3591  1 Y 3.14, 1 Pu 3.28, 2 Pm 3.33-3.45
Pm 0.1258 0.4809 0.5776  1 Pu 3.31, 4 Y 3.42-3.70, 5 Pm 3.45-3.58
Pm 0.3809 0.2457 0.2909  1 Pu 3.15, 1 Y 3.44, 1 Pm 3.50
Pm 0.4040 0.0973 0.8089  1 Pu 3.23, 4 Y 3.34-3.56, 2 Pm 3.58-3.59
Pm 0.5191 0.8742 0.4224  1 Pu 3.31, 4 Y 3.42-3.70, 5 Pm 3.45-3.58
Pm 0.7543 0.6191 0.7091  1 Pu 3.15, 1 Y 3.44, 1 Pm 3.50
Pm 0.9027 0.5960 0.1911  1 Pu 3.23, 4 Y 3.34-3.56, 2 Pm 3.58-3.59
Pm 0.9668 0.9668 0.6409  1 Y 3.14, 1 Pu 3.28, 2 Pm 3.33-3.45
Y 0.2031 0.5742 0.0354  3 Y 3.36-3.71, 6 Pm 3.44-3.73, 1 Pu 3.63
Y 0.4258 0.7969 0.9646  3 Y 3.36-3.71, 6 Pm 3.44-3.73, 1 Pu 3.63
Y 0.6054 0.3347 0.7747  7 Pm 3.34-3.69, 2 Y 3.36-3.49
Y 0.6653 0.3946 0.2253  7 Pm 3.34-3.69, 2 Y 3.36-3.49
Y 0.9584 0.0416 0.0000  2 Pm 3.14, 2 Y 3.49
Pu 0.3110 0.6890 0.5000  8 Pm 3.15-3.31

Pm4HgTe3 | GGA-PBE | relaxed

## Properties
SG: Cmmm, No. 65
Formation energy without anion corrections: -9.5 eV/f.u.
Magnetic moment: 0.00 Bohr magnetons per cell

abc: 7.7782 7.7782 4.3666
angles: 90.00 90.00 108.36
Closest atoms and distances in Å follow each position.
Positions (direct):
Pm 0.2429 0.2429 0.5000  2 Hg 3.11, 4 Te 3.15-3.20
Pm 0.2458 0.7542 0.0000  1 Hg 3.10, 5 Te 3.15-3.21
Pm 0.7542 0.2458 0.0000  1 Hg 3.10, 5 Te 3.15-3.21
Pm 0.7571 0.7571 0.5000  2 Hg 3.11, 4 Te 3.15-3.20
Hg 0.0000 0.0000 0.0000  6 Pm 3.10-3.11
Te 0.0000 0.5000 0.5000  6 Pm 3.15
Te 0.5000 0.0000 0.5000  6 Pm 3.15
Te 0.5000 0.5000 0.0000  6 Pm 3.20-3.21

TbTm3Ag | GGA-PBE | relaxed

## Properties
SG: C2/m, No. 12
E_form: -0.04 eV per formula unit
Magnetic moment: 0.00 Bohr magnetons per cell

abc: 6.6111 6.6111 7.6478
angles: 107.46 107.46 67.41
Closest atoms and distances in Å follow each position.
Positions (direct):
Tb 0.0589 0.0589 0.2387  2 Ag 3.29-3.30, 8 Tm 3.40-3.67, 1 Tb 3.40
Tb 0.9411 0.9411 0.7613  2 Ag 3.29-3.30, 8 Tm 3.40-3.67, 1 Tb 3.40
Tm 0.0882 0.5873 0.3521  2 Ag 3.11, 5 Tm 3.40-3.47, 3 Tb 3.40-3.45
Tm 0.4127 0.9118 0.6479  2 Ag 3.11, 5 Tm 3.40-3.47, 3 Tb 3.40-3.45
Tm 0.4395 0.4395 0.7580  2 Ag 3.19, 7 Tm 3.40-3.45
Tm 0.5605 0.5605 0.2420  2 Ag 3.19, 7 Tm 3.40-3.45
Tm 0.5873 0.0882 0.3521  2 Ag 3.11, 5 Tm 3.40-3.47, 3 Tb 3.40-3.45
Tm 0.9118 0.4127 0.6479  2 Ag 3.11, 5 Tm 3.40-3.47, 3 Tb 3.40-3.45
Ag 0.2564 0.2564 0.9998  6 Tm 3.11-3.19, 2 Tb 3.29-3.30
Ag 0.7436 0.7436 0.0002  6 Tm 3.11-3.19, 2 Tb 3.29-3.30

AgHgMo2 | GGA-PBE | relaxed

## Properties
SG: R-3m, No. 166
E_form: 2.63 eV per formula unit
Magnetic moment: 0.00 Bohr magnetons per cell

abc: 9.9191 9.9191 9.9191
angles: 16.61 16.61 16.61
Closest atoms and distances in Å follow each position.
Positions (direct):
Ag 0.0000 0.0000 0.0000  6 Ag 2.87, 6 Mo 2.92
Hg 0.5000 0.5000 0.5000  6 Hg 2.87, 6 Mo 2.98
Mo 0.2512 0.2512 0.2512  6 Mo 2.87, 3 Ag 2.92, 3 Hg 2.98
Mo 0.7488 0.7488 0.7488  6 Mo 2.87, 3 Ag 2.92, 3 Hg 2.98

TmScCd3 | GGA-PBE | relaxed

## Properties
SG: C2/m, No. 12
E_form: -1.04 eV per formula unit
Magnetic moment: 0.00 Bohr magnetons per cell

abc: 7.8774 7.8774 6.3183
angles: 98.08 98.08 37.18
Closest atoms and distances in Å follow each position.
Positions (direct):
Tm 0.1099 0.1099 0.4342  7 Cd 3.04-3.21
Tm 0.8901 0.8901 0.5658  7 Cd 3.04-3.21
Sc 0.3017 0.3017 0.8691  8 Cd 3.01-3.31
Sc 0.6983 0.6983 0.1309  8 Cd 3.01-3.31
Cd 0.0961 0.0961 0.9217  3 Cd 3.03-3.17, 2 Tm 3.12-3.21, 3 Sc 3.13-3.14
Cd 0.3044 0.3044 0.3457  4 Sc 3.01-3.31, 3 Tm 3.04-3.06, 1 Cd 3.10
Cd 0.4976 0.4976 0.7476  5 Cd 3.03-3.18, 2 Tm 3.11, 1 Sc 3.13
Cd 0.5024 0.5024 0.2524  5 Cd 3.03-3.18, 2 Tm 3.11, 1 Sc 3.13
Cd 0.6956 0.6956 0.6543  4 Sc 3.01-3.31, 3 Tm 3.04-3.06, 1 Cd 3.10
Cd 0.9039 0.9039 0.0783  3 Cd 3.03-3.17, 2 Tm 3.12-3.21, 3 Sc 3.13-3.14

PrHoZnPd | GGA-PBE | relaxed

## Properties
SG: P4mm, No. 99
E_form: -2.29 eV per formula unit
Magnetic moment: 0.00 Bohr magnetons per cell

abc: 3.6183 3.6183 7.1370
angles: 90.00 90.00 90.00
Closest atoms and distances in Å follow each position.
Positions (direct):
Pr 0.0000 0.0000 0.0000  4 Zn 3.22, 4 Pd 3.24, 1 Ho 3.50
Ho 0.0000 0.0000 0.4899  4 Pd 2.97, 4 Zn 3.06
Zn 0.5000 0.5000 0.7252  4 Ho 3.06, 1 Pd 3.18, 4 Pr 3.22
Pd 0.5000 0.5000 0.2791  4 Ho 2.97, 1 Zn 3.18, 4 Pr 3.24